Entry A
Here is an optimized crystal structure of NaZnSi from the Alexandria database. Energies are from PBE-GGA.

Output
- Calculated volume: 20.43 A^3/atom
- DOS at the Fermi energy: 0.26 states/eV/atom

Cell: 4.925 4.925 5.808 Å, 108.42 108.42 70.71°
Fractional positions:
Na1 0.128 0.128 0.374
Na2 0.872 0.872 0.626
Zn1 0.000 0.500 0.000
Zn2 0.500 0.000 0.000
Si1 0.484 0.484 0.279
Si2 0.516 0.516 0.721

Entry B
Here is an optimized crystal structure of NaZnSi from the Alexandria database. Energies are from PBE-GGA.

Output
- Calculated volume: 19.86 A^3/atom
- DOS at the Fermi energy: 0.18 states/eV/atom

Cell: 7.049 7.049 3.215 Å, 102.88 102.88 122.62°
Fractional positions:
Na1 0.193 0.807 0.000
Na2 0.807 0.193 0.000
Zn1 0.208 0.208 0.709
Zn2 0.792 0.792 0.291
Si1 0.401 0.599 0.500
Si2 0.599 0.401 0.500

So which one wins? Going from most stable to least: entry B, entry A.

Entry A
Here is an optimized crystal structure of NaZnSi from the Alexandria database. Energies are from PBE-GGA.

Output
- Calculated volume: 19.24 A^3/atom
- DOS at the Fermi energy: 0.13 states/eV/atom

Cell: 4.365 4.365 3.498 Å, 90.00 90.00 120.00°
Fractional positions:
Na1 0.000 0.000 0.000
Zn1 0.333 0.667 0.500
Si1 0.667 0.333 0.500

Entry B
Here is an optimized crystal structure of NaZnSi from the Alexandria database. Energies are from PBE-GGA.

Output
- Calculated volume: 20.20 A^3/atom
- DOS at the Fermi energy: 0.44 states/eV/atom

Cell: 7.843 7.843 7.843 Å, 149.87 149.87 43.13°
Fractional positions:
Na1 0.177 0.177 0.000
Na2 0.823 0.823 0.000
Zn1 0.000 0.500 0.500
Zn2 0.500 0.000 0.500
Si1 0.396 0.396 0.000
Si2 0.604 0.604 0.000

So which one wins? Going from most stable to least: entry A, entry B.

Entry A
Here is an optimized crystal structure of NaZn3Si from the Alexandria database. Energies are from PBE-GGA.

Output
- Calculated volume: 23.25 A^3/atom
- DOS at the Fermi energy: 0.50 states/eV/atom

Cell: 4.881 4.881 4.881 Å, 90.00 90.00 90.00°
Fractional positions:
Na1 0.000 0.000 0.000
Zn1 0.000 0.500 0.500
Zn2 0.500 0.000 0.500
Zn3 0.500 0.500 0.000
Si1 0.500 0.500 0.500

Entry B
Here is an optimized crystal structure of NaZn3Si from the Alexandria database. Energies are from PBE-GGA.

Output
- Calculated volume: 24.59 A^3/atom
- DOS at the Fermi energy: 0.59 states/eV/atom

Cell: 4.973 4.973 4.973 Å, 90.00 90.00 90.00°
Fractional positions:
Na1 0.000 0.000 0.000
Zn1 0.000 0.000 0.500
Zn2 0.000 0.500 0.000
Zn3 0.500 0.000 0.000
Si1 0.500 0.500 0.500

So which one wins? Going from most stable to least: entry A, entry B.

Entry A
Here is an optimized crystal structure of Na2Zn2Si from the Alexandria database. Energies are from PBE-GGA.

Output
- Calculated volume: 21.11 A^3/atom
- DOS at the Fermi energy: 0.20 states/eV/atom

Cell: 5.450 5.450 8.063 Å, 98.32 98.32 63.44°
Fractional positions:
Na1 0.037 0.267 0.165
Na2 0.267 0.037 0.665
Na3 0.733 0.963 0.335
Na4 0.963 0.733 0.835
Zn1 0.239 0.503 0.498
Zn2 0.497 0.761 0.002
Zn3 0.503 0.239 0.998
Zn4 0.761 0.497 0.502
Si1 0.397 0.603 0.250
Si2 0.603 0.397 0.750

Entry B
Here is an optimized crystal structure of Na2Zn2Si from the Alexandria database. Energies are from PBE-GGA.

Output
- Calculated volume: 21.07 A^3/atom
- DOS at the Fermi energy: 0.41 states/eV/atom

Cell: 6.506 6.506 4.978 Å, 90.00 90.00 90.00°
Fractional positions:
Na1 0.181 0.319 0.000
Na2 0.319 0.819 0.000
Na3 0.681 0.181 0.000
Na4 0.819 0.681 0.000
Zn1 0.138 0.638 0.500
Zn2 0.362 0.138 0.500
Zn3 0.638 0.862 0.500
Zn4 0.862 0.362 0.500
Si1 0.000 0.000 0.500
Si2 0.500 0.500 0.500

So which one wins? Going from most stable to least: entry A, entry B.

Entry A
Here is an optimized crystal structure of NaZnSi3 from the Alexandria database. Energies are from PBE-GGA.

Output
- Calculated volume: 24.38 A^3/atom
- DOS at the Fermi energy: 1.00 states/eV/atom

Cell: 4.958 4.958 4.958 Å, 90.00 90.00 90.00°
Fractional positions:
Na1 0.000 0.000 0.000
Zn1 0.500 0.500 0.500
Si1 0.000 0.000 0.500
Si2 0.000 0.500 0.000
Si3 0.500 0.000 0.000

Entry B
Here is an optimized crystal structure of NaZnSi3 from the Alexandria database. Energies are from PBE-GGA.

Output
- Calculated volume: 22.28 A^3/atom
- DOS at the Fermi energy: 0.58 states/eV/atom

Cell: 4.812 4.812 4.812 Å, 90.00 90.00 90.00°
Fractional positions:
Na1 0.000 0.000 0.000
Zn1 0.500 0.500 0.500
Si1 0.000 0.500 0.500
Si2 0.500 0.000 0.500
Si3 0.500 0.500 0.000

So which one wins? Going from most stable to least: entry B, entry A.

Entry A
Here is an optimized crystal structure of NaSm3 from the Alexandria database. Energies are from PBE-GGA.

Output
- Calculated volume: 33.57 A^3/atom
- DOS at the Fermi energy: 1.34 states/eV/atom

Cell: 3.603 5.938 6.276 Å, 90.00 90.00 90.00°
Fractional positions:
Na1 0.000 0.000 0.000
Sm1 0.000 0.500 0.647
Sm2 0.500 0.000 0.506
Sm3 0.500 0.500 0.161

Entry B
Here is an optimized crystal structure of NaSm3 from the Alexandria database. Energies are from PBE-GGA.

Output
- Calculated volume: 33.51 A^3/atom
- DOS at the Fermi energy: 1.11 states/eV/atom

Cell: 6.905 6.905 6.905 Å, 149.06 62.71 126.93°
Fractional positions:
Na1 0.000 0.000 0.000
Sm1 0.120 0.371 0.749
Sm2 0.491 0.991 0.500
Sm3 0.623 0.371 0.251

So which one wins? Going from most stable to least: entry B, entry A.